[1]
A plane-wave DFT calculation with PBE was carried out for a relaxed structure of TaTcPO2.

Structure (extended XYZ):
```
5
Lattice="3.717 0.000 0.000 0.000 3.717 0.000 0.000 0.000 5.567" Properties=species:S:1:pos:R:3 pbc="T T T"
Ta 0.000 0.000 0.000
Tc 1.859 1.859 2.784
P 1.859 1.859 0.000
O 0.000 1.859 2.784
O 1.859 0.000 2.784
```

Values from the calculation:
* ΔE to the lowest computed polymorph: 302.6 kJ/mol of formula units
* energy relative to the elements, uncorrected: -30 kJ/mol of atoms
* raw total energy: -7.82 eV per atom

***

[2]
A plane-wave DFT calculation with PBE was carried out for a relaxed structure of NdErNiHg.

Structure (extended XYZ):
```
16
Lattice="7.235 0.000 0.000 0.000 7.235 0.000 0.000 0.000 7.235" Properties=species:S:1:pos:R:3 pbc="T T T"
Nd 0.000 0.000 0.000
Nd 0.000 3.617 3.617
Nd 3.617 0.000 3.617
Nd 3.617 3.617 0.000
Er 0.000 0.000 3.617
Er 0.000 3.617 0.000
Er 3.617 0.000 0.000
Er 3.617 3.617 3.617
Ni 1.809 1.809 1.809
Ni 1.809 5.426 5.426
Ni 5.426 1.809 5.426
Ni 5.426 5.426 1.809
Hg 1.809 1.809 5.426
Hg 1.809 5.426 1.809
Hg 5.426 1.809 1.809
Hg 5.426 5.426 5.426
```

Values from the calculation:
* raw total energy: -4.16 eV per atom

***

[3]
A plane-wave DFT calculation with PBE was carried out for a relaxed structure of HfTi3P.

Structure (extended XYZ):
```
5
Lattice="4.577 0.000 0.000 0.000 4.577 0.000 0.000 0.000 4.577" Properties=species:S:1:pos:R:3 pbc="T T T"
Hf 0.000 0.000 0.000
Ti 0.000 2.289 2.289
Ti 2.289 0.000 2.289
Ti 2.289 2.289 0.000
P 2.289 2.289 2.289
```

Values from the calculation:
* ΔE to the lowest computed polymorph: 190.4 kJ/mol of formula units
* raw total energy: -8.04 eV per atom

***

[4]
A plane-wave DFT calculation with PBE was carried out for a relaxed structure of MnP3.

Structure (extended XYZ):
```
8
Lattice="6.664 0.000 0.000 0.000 2.875 0.000 0.000 0.000 6.142" Properties=species:S:1:pos:R:3 pbc="T T T"
Mn 0.000 0.000 0.000
Mn 0.000 1.437 3.071
P 1.329 0.000 4.195
P 1.329 1.437 1.124
P 3.332 0.000 3.269
P 3.332 1.437 0.198
P 5.336 0.000 4.195
P 5.336 1.437 1.124
```

Values from the calculation:
* ΔE to the lowest computed polymorph: 64.0 kJ/mol of formula units
* raw total energy: -6.34 eV per atom

***

[5]
A plane-wave DFT calculation with PBE was carried out for a relaxed structure of Pr4Er3Sc.

Structure (extended XYZ):
```
16
Lattice="23.143 0.000 0.000 0.000 3.597 0.000 -0.540 0.000 6.201" Properties=species:S:1:pos:R:3 pbc="T T T"
Pr 2.613 0.000 2.334
Pr 2.412 1.799 5.416
Pr 8.620 0.000 0.785
Pr 8.419 1.799 3.867
Pr 14.185 1.799 2.334
Pr 13.984 0.000 5.416
Pr 20.191 1.799 0.785
Pr 19.990 0.000 3.867
Er 0.000 0.000 0.000
Er 5.637 1.799 1.552
Er 5.395 0.000 4.649
Er 11.572 1.799 0.000
Er 17.208 0.000 1.552
Er 16.967 1.799 4.649
Sc -0.270 1.799 3.101
Sc 11.302 0.000 3.101
```

Values from the calculation:
* ΔE to the lowest computed polymorph: 0.0 kJ/mol of formula units
* raw total energy: -4.86 eV per atom

***

[6]
A plane-wave DFT calculation with PBE was carried out for a relaxed structure of PmEr3Pd2.

Structure (extended XYZ):
```
6
Lattice="3.540 0.000 0.000 0.000 3.540 0.000 0.000 0.000 11.911" Properties=species:S:1:pos:R:3 pbc="T T T"
Pm 0.000 0.000 0.000
Er 1.770 1.770 2.607
Er 1.770 1.770 5.955
Er 1.770 1.770 9.304
Pd 0.000 0.000 4.262
Pd 0.000 0.000 7.649
```

Values from the calculation:
* ΔE to the lowest computed polymorph: 0.0 kJ/mol of formula units
* raw total energy: -5.40 eV per atom

***

Number 1: M_tot 1.9 Bohr magnetons per cell. Number 2: M_tot 0.0 Bohr magnetons per cell. Number 3: M_tot 0.0 Bohr magnetons per cell. Number 4: M_tot 1.4 Bohr magnetons per cell. Number 5: M_tot 0.0 Bohr magnetons per cell. Number 6: M_tot 0.0 Bohr magnetons per cell.